Record 1
First-principles (GGA-PBEsol) data for SrHIO after structural relaxation, as listed in Alexandria.

The value obtained for the total moment is 0.000 μB per cell. As for the electronic total energy: -19.6 eV per formula unit. For the density of states at the Fermi level, the calculation gives 0.00 states/eV per cell.

Cell lengths 4.185, 7.628, 10.725 Å; angles 90.00, 90.00, 90.00 degrees
Fractional positions:
1 H 0.250 0.775 0.903
2 Sr 0.250 0.178 0.919
3 H 0.750 0.225 0.097
4 H 0.750 0.725 0.403
5 I 0.250 0.971 0.323
6 Sr 0.250 0.678 0.581
7 O 0.750 0.134 0.032
8 Sr 0.750 0.322 0.419
9 O 0.750 0.634 0.468
10 Sr 0.750 0.822 0.081
11 I 0.750 0.029 0.677
12 H 0.250 0.275 0.597
13 I 0.250 0.471 0.177
14 O 0.250 0.866 0.968
15 I 0.750 0.529 0.823
16 O 0.250 0.366 0.532


Record 2
First-principles (GGA-PBEsol) data for ZnHI2O after structural relaxation, as listed in Alexandria.

The value obtained for the total moment is 0.864 μB per cell. As for the electronic total energy: -12.0 eV per formula unit. For the density of states at the Fermi level, the calculation gives 3.37 states/eV per cell.

Cell lengths 2.740, 6.136, 6.136 Å; angles 90.00, 90.00, 90.00 degrees
Fractional positions:
1 O 0.500 0.000 0.000
2 I 0.000 0.500 0.000
3 I 0.000 0.000 0.500
4 Zn 0.500 0.500 0.500
5 H 0.000 0.000 0.000


Record 3
First-principles (GGA-PBEsol) data for HOs2I after structural relaxation, as listed in Alexandria.

The value obtained for the total moment is 0.000 μB per cell. As for the electronic total energy: -25.6 eV per formula unit. For the density of states at the Fermi level, the calculation gives 0.84 states/eV per cell.

Cell lengths 4.982, 4.982, 5.846 Å; angles 115.22, 115.22, 90.00 degrees
Fractional positions:
1 H 0.500 0.500 0.000
2 I 0.000 0.000 0.000
3 Os 0.511 0.875 0.250
4 Os 0.625 0.489 0.750
5 I 0.250 0.750 0.500
6 Os 0.739 0.375 0.250
7 H 0.750 0.250 0.500
8 Os 0.125 0.261 0.750


Record 4
First-principles (GGA-PBEsol) data for HOs2SeI after structural relaxation, as listed in Alexandria.

The value obtained for the total moment is 4.561 μB per cell. As for the electronic total energy: -18.5 eV per formula unit. For the density of states at the Fermi level, the calculation gives 4.96 states/eV per cell.

Cell lengths 4.852, 4.852, 5.511 Å; angles 90.00, 90.00, 90.00 degrees
Fractional positions:
1 Se 0.000 0.000 0.500
2 H 0.500 0.500 0.500
3 I 0.000 0.000 0.000
4 Os 0.000 0.500 0.000
5 Os 0.500 0.000 0.000


Record 5
First-principles (GGA-PBEsol) data for P2HI after structural relaxation, as listed in Alexandria.

The value obtained for the total moment is 0.000 μB per cell. As for the electronic total energy: -13.5 eV per formula unit. For the density of states at the Fermi level, the calculation gives 4.69 states/eV per cell.

Cell lengths 4.538, 4.538, 7.674 Å; angles 107.20, 107.20, 90.00 degrees
Fractional positions:
1 P 0.125 0.375 0.750
2 I 0.250 0.750 0.500
3 P 0.625 0.875 0.250
4 H 0.750 0.250 0.500
5 P 0.625 0.375 0.750
6 I 0.000 0.000 0.000
7 H 0.500 0.500 0.000
8 P 0.625 0.375 0.250


Record 6
First-principles (GGA-PBEsol) data for PH4I after structural relaxation, as listed in Alexandria.

The value obtained for the total moment is 0.000 μB per cell. As for the electronic total energy: -21.3 eV per formula unit. For the density of states at the Fermi level, the calculation gives 0.00 states/eV per cell.

Cell lengths 4.447, 6.080, 6.080 Å; angles 90.00, 90.00, 90.00 degrees
Fractional positions:
1 H 0.810 0.500 0.690
2 I 0.600 0.000 0.500
3 I 0.400 0.500 0.000
4 H 0.190 0.000 0.190
5 H 0.190 0.310 0.500
6 P 0.000 0.000 0.000
7 P 0.000 0.500 0.500
8 H 0.190 0.690 0.500
9 H 0.810 0.190 0.000
10 H 0.190 0.000 0.810
11 H 0.810 0.810 0.000
12 H 0.810 0.500 0.310


Record 7
First-principles (GGA-PBEsol) data for TePHI2 after structural relaxation, as listed in Alexandria.

The value obtained for the total moment is 0.847 μB per cell. As for the electronic total energy: -12.5 eV per formula unit. For the density of states at the Fermi level, the calculation gives 5.00 states/eV per cell.

Cell lengths 5.157, 5.510, 5.510 Å; angles 90.00, 90.00, 90.00 degrees
Fractional positions:
1 H 0.500 0.500 0.500
2 I 0.000 0.000 0.500
3 Te 0.500 0.000 0.000
4 P 0.000 0.000 0.000
5 I 0.000 0.500 0.000


Record 8
First-principles (GGA-PBEsol) data for HPb3I after structural relaxation, as listed in Alexandria.

The value obtained for the total moment is 0.000 μB per cell. As for the electronic total energy: -15.7 eV per formula unit. For the density of states at the Fermi level, the calculation gives 3.00 states/eV per cell.

Cell lengths 5.033, 5.033, 5.033 Å; angles 90.00, 90.00, 90.00 degrees
Fractional positions:
1 Pb 0.000 0.000 0.500
2 I 0.500 0.500 0.500
3 Pb 0.500 0.000 0.000
4 H 0.000 0.000 0.000
5 Pb 0.000 0.500 0.000


Record 9
First-principles (GGA-PBEsol) data for Te2HPbI after structural relaxation, as listed in Alexandria.

The value obtained for the total moment is 0.038 μB per cell. As for the electronic total energy: -11.8 eV per formula unit. For the density of states at the Fermi level, the calculation gives 7.77 states/eV per cell.

Cell lengths 5.826, 5.826, 6.169 Å; angles 90.00, 90.00, 90.00 degrees
Fractional positions:
1 Te 0.000 0.500 0.000
2 Te 0.500 0.000 0.000
3 I 0.000 0.000 0.500
4 H 0.500 0.500 0.500
5 Pb 0.000 0.000 0.000


Record 10
First-principles (GGA-PBEsol) data for HPd3I after structural relaxation, as listed in Alexandria.

The value obtained for the total moment is 0.985 μB per cell. As for the electronic total energy: -17.0 eV per formula unit. For the density of states at the Fermi level, the calculation gives 5.31 states/eV per cell.

Cell lengths 4.949, 4.949, 4.949 Å; angles 90.00, 90.00, 90.00 degrees
Fractional positions:
1 H 0.500 0.500 0.500
2 Pd 0.000 0.500 0.000
3 Pd 0.000 0.000 0.500
4 Pd 0.500 0.000 0.000
5 I 0.000 0.000 0.000


Record 11
First-principles (GGA-PBEsol) data for TcHPd2I after structural relaxation, as listed in Alexandria.

The value obtained for the total moment is 0.006 μB per cell. As for the electronic total energy: -24.0 eV per formula unit. For the density of states at the Fermi level, the calculation gives 5.47 states/eV per cell.

Cell lengths 3.468, 4.897, 4.897 Å; angles 90.00, 90.00, 90.00 degrees
Fractional positions:
1 Pd 0.000 0.500 0.000
2 I 0.500 0.500 0.500
3 H 0.500 0.000 0.000
4 Pd 0.000 0.000 0.500
5 Tc 0.000 0.000 0.000


Record 12
First-principles (GGA-PBEsol) data for HPt3I after structural relaxation, as listed in Alexandria.

The value obtained for the total moment is 1.010 μB per cell. As for the electronic total energy: -16.9 eV per formula unit. For the density of states at the Fermi level, the calculation gives 6.52 states/eV per cell.

Cell lengths 4.930, 4.930, 4.930 Å; angles 90.00, 90.00, 90.00 degrees
Fractional positions:
1 Pt 0.000 0.000 0.500
2 Pt 0.000 0.500 0.000
3 H 0.500 0.500 0.500
4 Pt 0.500 0.000 0.000
5 I 0.000 0.000 0.000